# 1
Ac3DyPb2C: relaxed, PBE.

```
data_Ac3DyPb2C
_chemical_formula_sum 'Ac6 Dy2 Pb4 C2'
_symmetry_space_group_name_H-M 'I m m m'
_symmetry_Int_Tables_number 71
_symmetry_space_group_name_Hall '-I 2 2'
_cell_length_a 5.022
_cell_length_b 5.299
_cell_length_c 17.642
_cell_angle_alpha 90.00
_cell_angle_beta 90.00
_cell_angle_gamma 90.00
loop_
_atom_site_label
_atom_site_fract_x
_atom_site_fract_y
_atom_site_fract_z
Ac1 0.000 0.000 0.000
Ac2 0.000 0.500 0.162
Dy1 0.000 0.000 0.500
Pb1 0.000 0.500 0.362
C1 0.000 0.500 0.000
```

***

# 2
Ac2Dy2Sn2C: relaxed, PBE.

```
data_Ac2Dy2Sn2C
_chemical_formula_sum 'Ac4 Dy4 Sn4 C2'
_symmetry_space_group_name_H-M 'I 4/m m m'
_symmetry_Int_Tables_number 139
_symmetry_space_group_name_Hall '-I 4 2'
_cell_length_a 4.941
_cell_length_b 4.941
_cell_length_c 17.288
_cell_angle_alpha 90.00
_cell_angle_beta 90.00
_cell_angle_gamma 90.00
loop_
_atom_site_label
_atom_site_fract_x
_atom_site_fract_y
_atom_site_fract_z
Ac1 0.000 0.000 0.162
Dy1 0.000 0.500 0.000
Sn1 0.000 0.000 0.371
C1 0.000 0.000 0.000
```

***

# 3
AcErC: relaxed, PBE.

```
data_AcErC
_chemical_formula_sum 'Ac1 Er1 C1'
_symmetry_space_group_name_H-M 'P 3 m 1'
_symmetry_Int_Tables_number 156
_cell_length_a 3.7187
_cell_length_b 3.7187
_cell_length_c 6.7130
_cell_angle_alpha 90.00
_cell_angle_beta 90.00
_cell_angle_gamma 120.00
loop_
_symmetry_equiv_pos_as_xyz
'x,y,z'
'-y,x-y,z'
'-x+y,-x,z'
'-y,-x,z'
'-x+y,y,z'
'x,x-y,z'
loop_
_atom_site_label
_atom_site_fract_x
_atom_site_fract_y
_atom_site_fract_z
Ac1 0.0000 0.0000 0.0000
Er1 0.3333 0.6667 0.4237
C1 0.6667 0.3333 0.2541
```

***

# 4
AcErC: relaxed, PBE.

```
data_AcErC
_chemical_formula_sum 'Ac2 Er2 C2'
_symmetry_space_group_name_H-M 'I 4 m m'
_symmetry_Int_Tables_number 107
_symmetry_space_group_name_Hall 'I 4 -2'
_cell_length_a 3.324
_cell_length_b 3.324
_cell_length_c 12.772
_cell_angle_alpha 90.00
_cell_angle_beta 90.00
_cell_angle_gamma 90.00
loop_
_atom_site_label
_atom_site_fract_x
_atom_site_fract_y
_atom_site_fract_z
Ac1 0.000 0.000 0.000
Er1 0.000 0.000 0.775
C1 0.000 0.000 0.373
```

***

# 5
AcEr3C: relaxed, PBE.

```
data_AcEr3C
_chemical_formula_sum 'Ac1 Er3 C1'
_symmetry_space_group_name_H-M 'P m -3 m'
_symmetry_Int_Tables_number 221
_symmetry_space_group_name_Hall '-P 4 2 3'
_cell_length_a 5.083
_cell_length_b 5.083
_cell_length_c 5.083
_cell_angle_alpha 90.00
_cell_angle_beta 90.00
_cell_angle_gamma 90.00
loop_
_atom_site_label
_atom_site_fract_x
_atom_site_fract_y
_atom_site_fract_z
Ac1 0.000 0.000 0.000
Er1 0.000 0.500 0.500
C1 0.500 0.500 0.500
```

***

# 6
AcErC: relaxed, PBE.

```
data_AcErC
_chemical_formula_sum 'Ac4 Er4 C4'
_symmetry_space_group_name_H-M 'I m m m'
_symmetry_Int_Tables_number 71
_symmetry_space_group_name_Hall '-I 2 2'
_cell_length_a 4.273
_cell_length_b 10.073
_cell_length_c 10.667
_cell_angle_alpha 90.00
_cell_angle_beta 90.00
_cell_angle_gamma 90.00
loop_
_atom_site_label
_atom_site_fract_x
_atom_site_fract_y
_atom_site_fract_z
Ac1 0.000 0.185 0.000
Er1 0.000 0.000 0.340
C1 0.000 0.000 0.144
```

***

no.,formation energy from the elements (meV per atom),uncorrected energy (eV per atom)
1,-414,-5.21
2,-681,-5.63
3,-49,-6.01
4,438,-5.53
5,25,-5.38
6,897,-5.07